Compound: La2MgSe4
Source: Alexandria via LeMat-Bulk
Functional: PBE
Structure: optimized geometry

Cell lengths 8.596, 8.596, 8.596 Å; angles 60.00, 60.00, 60.00 degrees
Fractional positions:
La 0.000 0.000 0.000
La 0.000 0.000 0.500
La 0.000 0.500 0.000
La 0.500 0.000 0.000
Mg 0.375 0.375 0.375
Mg 0.625 0.625 0.625
Se 0.244 0.752 0.752
Se 0.248 0.248 0.248
Se 0.248 0.248 0.756
Se 0.248 0.756 0.248
Se 0.752 0.244 0.752
Se 0.752 0.752 0.244
Se 0.752 0.752 0.752
Se 0.756 0.248 0.248

Calculated values
E   -37.49 eV per formula unit
Uncorrected formation energy   -1.73 eV per atom
Space group   Fd-3m
Offset from the most stable computed form   40 meV per atom

---

Compound: La2MgSe
Source: Alexandria via LeMat-Bulk
Functional: PBE
Structure: optimized geometry

Cell lengths 3.865, 3.865, 7.562 Å; angles 90.00, 90.00, 90.00 degrees
Fractional positions:
La 0.000 0.000 0.233
La 0.000 0.000 0.767
Mg 0.500 0.500 0.500
Se 0.500 0.500 0.000

Calculated values
E   -18.25 eV per formula unit
Uncorrected formation energy   -0.83 eV per atom
Space group   P4/mmm
Offset from the most stable computed form   66 meV per atom

---

Compound: LaMgSe
Source: Alexandria via LeMat-Bulk
Functional: PBE
Structure: optimized geometry

Cell lengths 5.136, 5.136, 5.136 Å; angles 60.00, 60.00, 60.00 degrees
Fractional positions:
La 0.000 0.000 0.000
Mg 0.250 0.250 0.250
Se 0.750 0.750 0.750

Calculated values
E   -11.40 eV per formula unit
Uncorrected formation energy   -0.46 eV per atom
Space group   F-43m
Offset from the most stable computed form   630 meV per atom

---

Compound: LaMgSe2
Source: Alexandria via LeMat-Bulk
Functional: PBE
Structure: optimized geometry

Cell lengths 5.356, 5.356, 5.356 Å; angles 133.85, 112.61, 85.57 degrees
Fractional positions:
La 0.000 0.000 0.000
Mg 0.500 0.500 0.000
Se 0.288 0.788 0.500
Se 0.712 0.212 0.500

Calculated values
E   -18.62 eV per formula unit
Uncorrected formation energy   -1.28 eV per atom
Space group   Immm

---

Compound: LaMgSe2
Source: Alexandria via LeMat-Bulk
Functional: PBE
Structure: optimized geometry

Cell lengths 4.204, 4.204, 5.994 Å; angles 90.00, 90.00, 90.00 degrees
Fractional positions:
La 0.000 0.000 0.000
Mg 0.500 0.500 0.502
Se 0.000 0.000 0.500
Se 0.500 0.500 0.000

Calculated values
E   -19.37 eV per formula unit
Uncorrected formation energy   -1.47 eV per atom
Space group   P4mm

---

Compound: LaMgSe2
Source: Alexandria via LeMat-Bulk
Functional: PBE
Structure: optimized geometry

Cell lengths 5.190, 5.190, 5.190 Å; angles 60.00, 60.00, 60.00 degrees
Fractional positions:
La 0.000 0.000 0.000
Mg 0.750 0.750 0.750
Se 0.250 0.250 0.250
Se 0.500 0.500 0.500

Calculated values
E   -16.02 eV per formula unit
Uncorrected formation energy   -0.63 eV per atom
Space group   F-43m

---

Among the records above, which one has the highest uncorrected formation energy? LaMgSe

---

Repeat the fifth record exactly.
Compound: LaMgSe2
Source: Alexandria via LeMat-Bulk
Functional: PBE
Structure: optimized geometry

Cell lengths 4.204, 4.204, 5.994 Å; angles 90.00, 90.00, 90.00 degrees
Fractional positions:
La 0.000 0.000 0.000
Mg 0.500 0.500 0.502
Se 0.000 0.000 0.500
Se 0.500 0.500 0.000

Calculated values
E   -19.37 eV per formula unit
Uncorrected formation energy   -1.47 eV per atom
Space group   P4mm

---

Which value of uncorrected formation energy does entry 6 give? -0.63 eV per atom

---

Which of these has the highest uncorrected formation energy? LaMgSe